Version one
# SrTc2Br GGA-PBEsol relaxed
# DOS(E_F) (states/eV per atom): 0.735
# Crystal system: tetragonal
data_SrTc2Br
_chemical_formula_sum 'Sr1 Tc2 Br1'
_cell_length_a 3.176
_cell_length_b 3.176
_cell_length_c 8.012
_cell_angle_alpha 90.00
_cell_angle_beta 90.00
_cell_angle_gamma 90.00
_space_group_name_H-M_alt 'P 4 m m'
_space_group_IT_number 99
loop_
_space_group_symop_operation_xyz
'x,y,z'
'-y,x,z'
'-x,-y,z'
'y,-x,z'
'-x,y,z'
'y,x,z'
'x,-y,z'
'-y,-x,z'
loop_
_atom_site_label
_atom_site_fract_x
_atom_site_fract_y
_atom_site_fract_z
Sr1 0.000 0.000 0.000
Tc1 0.000 0.000 0.441
Tc2 0.500 0.500 0.294
Br1 0.500 0.500 0.734



Version two
# SrTc2Br GGA-PBEsol relaxed
# DOS(E_F) (states/eV per atom): 1.064
# Crystal system: orthorhombic
data_SrTc2Br
_chemical_formula_sum 'Sr2 Tc4 Br2'
_cell_length_a 3.586
_cell_length_b 5.744
_cell_length_c 8.821
_cell_angle_alpha 90.00
_cell_angle_beta 90.00
_cell_angle_gamma 90.00
_space_group_name_H-M_alt 'I m m 2'
_space_group_IT_number 44
loop_
_space_group_symop_operation_xyz
'x,y,z'
'-x,-y,z'
'-x,y,z'
'x,-y,z'
'x+1/2,y+1/2,z+1/2'
'-x+1/2,-y+1/2,z+1/2'
'-x+1/2,y+1/2,z+1/2'
'x+1/2,-y+1/2,z+1/2'
loop_
_atom_site_label
_atom_site_fract_x
_atom_site_fract_y
_atom_site_fract_z
Sr1 0.000 0.000 0.000
Tc1 0.000 0.000 0.515
Tc2 0.000 0.500 0.177
Br1 0.000 0.500 0.785



Out of the structures above, which one is the most stable? Solution: version one.